(1)
Below is a relaxed structure of Pm4Nd3Er5, with properties calculated at the PBE level.

a = 7.190 Å, b = 11.375 Å, c = 12.971 Å
α = 151.29°, β = 56.38°, γ = 129.21°
Fractional coordinates of all 12 atoms:
Pm  0.083  0.163  0.331
Er  0.670  0.335  0.165
Nd  0.000  0.000  0.500
Pm  0.917  0.837  0.669
Er  0.500  0.000  0.500
Nd  0.418  0.836  0.668
Pm  0.170  0.339  0.168
Er  0.249  0.499  0.000
Pm  0.830  0.661  0.832
Er  0.330  0.665  0.835
Er  0.751  0.501  0.000
Nd  0.582  0.164  0.332

Properties
- space-group type = No. 2

=====

(2)
Below is a relaxed structure of Pm5Nd12Er, with properties calculated at the PBE level.

a = 12.118 Å, b = 10.605 Å, c = 5.920 Å
α = 89.99°, β = 89.98°, γ = 55.16°
Fractional coordinates of all 18 atoms:
Nd  0.027  0.643  0.008
Nd  0.669  0.357  0.008
Nd  0.802  0.000  0.451
Nd  0.702  0.000  0.950
Pm  0.637  0.726  0.000
Pm  0.500  0.000  0.500
Nd  0.331  0.643  0.992
Nd  0.198  0.000  0.549
Nd  0.973  0.357  0.992
Nd  0.169  0.358  0.492
Pm  0.135  0.730  0.500
Pm  0.865  0.270  0.500
Pm  0.363  0.274  0.000
Nd  0.527  0.642  0.492
Er  0.000  0.000  0.000
Nd  0.831  0.642  0.508
Nd  0.473  0.358  0.508
Nd  0.298  0.000  0.050

Properties
- space-group type = No. 12

=====

(3)
Below is a relaxed structure of Pm4Nd2Er, with properties calculated at the PBE level.

a = 5.406 Å, b = 11.489 Å, c = 15.625 Å
α = 90.00°, β = 90.00°, γ = 90.00°
Fractional coordinates of all 28 atoms:
Nd  0.500  0.605  0.156
Er  0.000  0.000  0.500
Pm  0.000  0.103  0.694
Pm  0.000  0.603  0.806
Pm  0.000  0.205  0.930
Nd  0.000  0.395  0.656
Pm  0.500  0.205  0.570
Pm  0.000  0.705  0.570
Pm  0.500  0.397  0.306
Pm  0.500  0.295  0.070
Pm  0.000  0.795  0.070
Pm  0.000  0.295  0.430
Nd  0.000  0.895  0.844
Nd  0.500  0.105  0.344
Nd  0.000  0.105  0.156
Er  0.500  0.000  0.000
Nd  0.500  0.895  0.656
Pm  0.500  0.603  0.694
Pm  0.500  0.795  0.430
Nd  0.500  0.395  0.844
Pm  0.500  0.897  0.194
Pm  0.500  0.103  0.806
Er  0.000  0.500  0.000
Er  0.500  0.500  0.500
Pm  0.000  0.397  0.194
Pm  0.500  0.705  0.930
Nd  0.000  0.605  0.344
Pm  0.000  0.897  0.306

Properties
- energy above the most stable polymorph in this dataset (meV/atom) = 134.0
- space-group type = No. 64

=====

(4)
Below is a relaxed structure of Pm3NdEr, with properties calculated at the PBE level.

a = 6.633 Å, b = 11.820 Å, c = 6.592 Å
α = 124.32°, β = 120.10°, γ = 89.48°
Fractional coordinates of all 10 atoms:
Pm  0.869  0.813  0.331
Nd  0.000  0.500  0.000
Pm  0.291  0.812  0.164
Pm  0.131  0.187  0.669
Pm  0.691  0.542  0.390
Pm  0.309  0.458  0.610
Er  0.455  0.816  0.754
Pm  0.709  0.188  0.836
Nd  0.000  0.000  0.000
Er  0.545  0.184  0.246

Properties
- energy above the most stable polymorph in this dataset (meV/atom) = 0.0
- space-group type = No. 2

=====

(5)
Below is a relaxed structure of Pm6NdEr12, with properties calculated at the PBE level.

a = 8.695 Å, b = 8.695 Å, c = 8.695 Å
α = 98.69°, β = 98.69°, γ = 98.69°
Fractional coordinates of all 19 atoms:
Er  0.081  0.355  0.355
Pm  0.900  0.346  0.900
Pm  0.900  0.900  0.346
Er  0.645  0.645  0.919
Nd  0.000  0.000  0.000
Pm  0.100  0.654  0.100
Er  0.757  0.500  0.243
Er  0.500  0.243  0.757
Er  0.243  0.500  0.757
Er  0.243  0.757  0.500
Er  0.919  0.645  0.645
Er  0.355  0.081  0.355
Pm  0.100  0.100  0.654
Er  0.645  0.919  0.645
Er  0.355  0.355  0.081
Pm  0.346  0.900  0.900
Pm  0.654  0.100  0.100
Er  0.757  0.243  0.500
Er  0.500  0.757  0.243

Properties
- energy above the most stable polymorph in this dataset (meV/atom) = 99.5
- space-group type = No. 166

=====

(6)
Below is a relaxed structure of Pm2Nd12Er, with properties calculated at the PBE level.

a = 6.872 Å, b = 6.872 Å, c = 25.143 Å
α = 90.00°, β = 90.00°, γ = 63.53°
Fractional coordinates of all 30 atoms:
Pm  0.000  0.500  0.267
Nd  0.729  0.771  0.583
Nd  0.274  0.774  0.440
Nd  0.000  0.000  0.802
Nd  0.251  0.751  0.926
Nd  0.249  0.749  0.074
Nd  0.752  0.748  0.872
Nd  0.229  0.271  0.417
Nd  0.748  0.752  0.128
Pm  0.500  0.000  0.273
Pm  0.500  0.000  0.733
Nd  0.271  0.229  0.583
Nd  0.000  0.000  0.674
Nd  0.500  0.500  0.198
Er  0.000  0.500  0.000
Nd  0.749  0.249  0.926
Nd  0.226  0.726  0.560
Nd  0.000  0.000  0.198
Pm  0.000  0.500  0.727
Nd  0.500  0.500  0.674
Nd  0.726  0.226  0.440
Nd  0.252  0.248  0.128
Nd  0.774  0.274  0.560
Nd  0.500  0.500  0.802
Nd  0.771  0.729  0.417
Nd  0.248  0.252  0.872
Nd  0.751  0.251  0.074
Nd  0.500  0.500  0.326
Er  0.500  0.000  0.000
Nd  0.000  0.000  0.326

Properties
- space-group type = No. 67

=====

(7)
Below is a relaxed structure of PmNdEr14, with properties calculated at the PBE level.

a = 7.082 Å, b = 7.082 Å, c = 11.396 Å
α = 90.00°, β = 90.00°, γ = 119.86°
Fractional coordinates of all 16 atoms:
Er  0.542  0.958  0.000
Er  0.375  0.625  0.248
Er  0.542  0.458  0.000
Er  0.042  0.458  0.000
Er  0.208  0.292  0.500
Pm  0.208  0.792  0.500
Nd  0.708  0.292  0.500
Er  0.042  0.958  0.000
Er  0.375  0.125  0.754
Er  0.708  0.792  0.500
Er  0.375  0.625  0.752
Er  0.875  0.125  0.752
Er  0.875  0.625  0.246
Er  0.875  0.125  0.248
Er  0.875  0.625  0.754
Er  0.375  0.125  0.246

Properties
- space-group type = No. 38

=====

(8)
Below is a relaxed structure of Pm4NdEr7, with properties calculated at the PBE level.

a = 5.883 Å, b = 11.622 Å, c = 6.738 Å
α = 83.21°, β = 64.12°, γ = 75.34°
Fractional coordinates of all 12 atoms:
Er  0.066  0.681  0.186
Er  0.500  0.000  0.000
Er  0.633  0.503  0.232
Pm  0.365  0.777  0.494
Pm  0.635  0.223  0.506
Er  0.211  0.077  0.501
Pm  0.231  0.329  0.210
Er  0.789  0.923  0.499
Er  0.934  0.319  0.814
Pm  0.769  0.671  0.790
Er  0.367  0.497  0.768
Nd  0.000  0.000  0.000

Properties
- energy above the most stable polymorph in this dataset (meV/atom) = 184.1
- space-group type = No. 12

=====

Number 1: density of states at the Fermi level 15.6 states/eV per cell, ΔE_f 0.0167 eV per atom. Number 2: density of states at the Fermi level 26.3 states/eV per cell, ΔE_f 0.0763 eV per atom. Number 3: density of states at the Fermi level 38.8 states/eV per cell, ΔE_f 0.1468 eV per atom. Number 4: density of states at the Fermi level 14.0 states/eV per cell, ΔE_f 0.1596 eV per atom. Number 5: density of states at the Fermi level 32.0 states/eV per cell, ΔE_f 0.2149 eV per atom. Number 6: density of states at the Fermi level 44.2 states/eV per cell, ΔE_f 0.1515 eV per atom. Number 7: density of states at the Fermi level 20.9 states/eV per cell, ΔE_f 0.0099 eV per atom. Number 8: density of states at the Fermi level 19.7 states/eV per cell, ΔE_f 0.2614 eV per atom.